No. 1
! GdYCdNi, optimized geometry, DFT GGA-PBE; values from VASP
! ΔE_f: -0.2515 eV per atom
! volume: 23.3 A^3/atom
! SG: F-43m
! raw total energy: -112.99 eV/cell
&SYSTEM
  ibrav = 0, nat = 16, ntyp = 4
/
ATOMIC_SPECIES
Gd 157.25 Gd.upf
Y 88.91 Y.upf
Cd 112.41 Cd.upf
Ni 58.69 Ni.upf
CELL_PARAMETERS angstrom
7.199 0.000 0.000
0.000 7.199 0.000
0.000 0.000 7.199
ATOMIC_POSITIONS angstrom
Gd 0.000 0.000 0.000
Gd 0.000 3.600 3.600
Gd 3.600 0.000 3.600
Gd 3.600 3.600 0.000
Y 0.000 0.000 3.600
Y 0.000 3.600 0.000
Y 3.600 0.000 0.000
Y 3.600 3.600 3.600
Cd 1.800 1.800 5.399
Cd 1.800 5.399 1.800
Cd 5.399 1.800 1.800
Cd 5.399 5.399 5.399
Ni 1.800 1.800 1.800
Ni 1.800 5.399 5.399
Ni 5.399 1.800 5.399
Ni 5.399 5.399 1.800

***

No. 2
! Y2MnAgN, optimized geometry, DFT GGA-PBE; values from VASP
! volume: 20.0 A^3/atom
! SG: P4/mmm
! energy relative to the lowest polymorph listed for this composition: 0.475 eV/atom
! raw total energy: -34.27 eV/cell
&SYSTEM
  ibrav = 0, nat = 5, ntyp = 4
/
ATOMIC_SPECIES
Y 88.91 Y.upf
Mn 54.94 Mn.upf
Ag 107.87 Ag.upf
N 14.01 N.upf
CELL_PARAMETERS angstrom
4.749 0.000 0.000
0.000 4.749 0.000
0.000 0.000 4.444
ATOMIC_POSITIONS angstrom
Y 0.000 2.374 0.000
Y 2.374 0.000 0.000
Mn 0.000 0.000 2.222
Ag 2.374 2.374 2.222
N 2.374 2.374 0.000

***

No. 3
! SrGa2Cu2, optimized geometry, DFT GGA-PBE; values from VASP
! ΔE_f: -0.2669 eV per atom
! volume: 19.5 A^3/atom
! SG: I4/mmm
! raw total energy: -34.52 eV/cell
&SYSTEM
  ibrav = 0, nat = 10, ntyp = 3
/
ATOMIC_SPECIES
Sr 87.62 Sr.upf
Ga 69.72 Ga.upf
Cu 63.55 Cu.upf
CELL_PARAMETERS angstrom
4.296 0.000 0.000
0.000 4.296 0.000
0.000 0.000 10.545
ATOMIC_POSITIONS angstrom
Sr 0.000 0.000 0.000
Sr 2.148 2.148 5.273
Ga 0.000 2.148 2.636
Ga 0.000 2.148 7.909
Ga 2.148 0.000 2.636
Ga 2.148 0.000 7.909
Cu 0.000 0.000 3.988
Cu 0.000 0.000 6.557
Cu 2.148 2.148 1.284
Cu 2.148 2.148 9.261